DFT (PBE) results for an optimized crystal structure of K4LaHo3Te8.

Computed properties:
The magnetic moment is 0.0 μB/f.u. The value obtained for the formation energy without anion corrections is -1412 meV per atom.

Structure (extended XYZ):
```
16
Lattice="7.863 -4.539 0.000 7.863 4.539 0.000 -5.249 0.000 8.239" Properties=species:S:1:pos:R:3 pbc="T T T"
K 0.000 0.000 0.000
K 3.931 2.270 0.000
K 3.931 -2.270 0.000
K 7.863 0.000 0.000
La -2.625 0.000 4.120
Ho 1.307 2.270 4.120
Ho 1.307 -2.270 4.120
Ho 5.238 0.000 4.120
Te 0.082 0.000 5.855
Te 3.886 2.196 5.856
Te 2.617 0.000 2.421
Te 6.591 2.196 2.383
Te 3.886 -2.196 5.856
Te 7.859 0.000 5.819
Te 6.591 -2.196 2.383
Te 10.395 0.000 2.384
```